Model 1:
Density functional theory data (PBE-GGA) for a relaxed structure of Te2RuI.

abc: 7.246 7.246 7.246
angles: 90.00 90.00 90.00
Space group Fm-3m (No. 225)
Symmetry-distinct sites (fractional):
Te1 0.250 0.250 0.250
Ru1 0.000 0.000 0.000
I1 0.000 0.000 0.500

Mass density ... 8.4 g cm⁻³

Model 2:
Density functional theory data (PBE-GGA) for a relaxed structure of Te2RuI.

abc: 7.290 7.290 10.553
angles: 90.00 90.00 90.00
Space group I-42d (No. 122)
Symmetry-distinct sites (fractional):
Te1 0.153 0.250 0.125
Ru1 0.000 0.000 0.000
I1 0.000 0.000 0.500

Mass density ... 5.7 g cm⁻³

Relative stability in meV per atom, measured from the most stable structure: model 1 693; model 2 0

Model 1:
Density functional theory data (PBE-GGA) for a relaxed structure of YTeRuI2.

abc: 5.901 5.901 5.998
angles: 90.00 90.00 90.00
Space group P4/mmm (No. 123)
Symmetry-distinct sites (fractional):
Y1 0.000 0.000 0.000
Te1 0.000 0.000 0.500
Ru1 0.500 0.500 0.500
I1 0.000 0.500 0.000

Mass density ... 4.5 g cm⁻³

Model 2:
Density functional theory data (PBE-GGA) for a relaxed structure of YTeRuI2.

abc: 5.254 5.254 5.387
angles: 90.00 90.00 90.00
Space group P4/mmm (No. 123)
Symmetry-distinct sites (fractional):
Y1 0.000 0.000 0.000
Te1 0.500 0.500 0.000
Ru1 0.500 0.500 0.500
I1 0.000 0.500 0.500

Mass density ... 6.4 g cm⁻³

Relative stability in meV per atom, measured from the most stable structure: model 1 344; model 2 0

Model 1:
Density functional theory data (PBE-GGA) for a relaxed structure of Th2RuI.

abc: 4.1918 4.1918 24.7257
angles: 90.00 90.00 120.00
Space group R-3m (No. 166, hexagonal axes)
Symmetry-distinct sites (fractional):
Th1 0.0000 0.0000 0.2254
Ru1 0.0000 0.0000 0.5000
I1 0.0000 0.0000 0.0000

Mass density ... 9.2 g cm⁻³

Model 2:
Density functional theory data (PBE-GGA) for a relaxed structure of Th2RuI.

abc: 4.1647 4.1647 24.9353
angles: 90.00 90.00 120.00
Space group R3m (No. 160, hexagonal axes)
Symmetry-distinct sites (fractional):
Th1 0.0000 0.0000 0.0000
Th2 0.0000 0.0000 0.2156
Ru1 0.0000 0.0000 0.6084
I1 0.0000 0.0000 0.4392

Mass density ... 9.2 g cm⁻³

Relative stability in meV per atom, measured from the most stable structure: model 1 0; model 2 11

Model 1:
Density functional theory data (PBE-GGA) for a relaxed structure of TlRu2I.

abc: 6.212 6.212 11.110
angles: 90.00 90.00 90.00
Space group I-42d (No. 122)
Symmetry-distinct sites (fractional):
Tl1 0.000 0.000 0.000
Ru1 0.225 0.250 0.625
I1 0.000 0.000 0.500

Mass density ... 8.3 g cm⁻³

Model 2:
Density functional theory data (PBE-GGA) for a relaxed structure of TlRu2I.

abc: 6.689 6.689 6.689
angles: 90.00 90.00 90.00
Space group Fm-3m (No. 225)
Symmetry-distinct sites (fractional):
Tl1 0.000 0.000 0.000
Ru1 0.250 0.250 0.250
I1 0.000 0.000 0.500

Mass density ... 11.8 g cm⁻³

Relative stability in meV per atom, measured from the most stable structure: model 1 223; model 2 0

Model 1:
Density functional theory data (PBE-GGA) for a relaxed structure of Tm2RuI.

abc: 3.457 3.457 8.279
angles: 90.00 90.00 90.00
Space group P4/mmm (No. 123)
Symmetry-distinct sites (fractional):
Tm1 0.000 0.000 0.196
Ru1 0.500 0.500 0.000
I1 0.500 0.500 0.500

Mass density ... 9.5 g cm⁻³

Model 2:
Density functional theory data (PBE-GGA) for a relaxed structure of Tm2RuI.

abc: 4.0055 4.0055 23.5486
angles: 90.00 90.00 120.00
Space group R-3m (No. 166, hexagonal axes)
Symmetry-distinct sites (fractional):
Tm1 0.0000 0.0000 0.2268
Ru1 0.0000 0.0000 0.5000
I1 0.0000 0.0000 0.0000

Mass density ... 8.6 g cm⁻³

Relative stability in meV per atom, measured from the most stable structure: model 1 38; model 2 0

Model 1:
Density functional theory data (PBE-GGA) for a relaxed structure of VRuI.

abc: 3.924 4.090 9.248
angles: 90.00 101.96 90.00
Space group Pm (No. 6)
Symmetry-distinct sites (fractional):
V1 0.000 0.000 0.000
V2 0.457 0.500 0.014
Ru1 0.082 0.500 0.179
Ru2 0.573 0.000 0.162
I1 0.180 0.000 0.395
I2 0.859 0.500 0.781

Mass density ... 6.4 g cm⁻³

Model 2:
Density functional theory data (PBE-GGA) for a relaxed structure of VRuI.

abc: 4.024 4.133 10.167
angles: 101.13 90.18 119.12
Space group P-1 (No. 2)
Symmetry-distinct sites (fractional):
V1 0.174 0.347 0.056
Ru1 0.500 0.002 0.872
I1 0.102 0.199 0.313

Mass density ... 6.4 g cm⁻³

Relative stability in meV per atom, measured from the most stable structure: model 1 0; model 2 56